The following is a DFT calculation (PBE-GGA) of crystalline VAuCl2 at its relaxed geometry. Values from VASP.

Results
Energy above the lowest structure with this stoichiometry, eV/atom: 0.000
Calculated volume, A^3/atom: 21.39
M_tot, μB/f.u.: 0.2
Space group: R-3m
E_form (uncorrected), kJ/mol of formula units: -202

The structure in Quantum ESPRESSO input format:
```
&SYSTEM
  ibrav = 0, nat = 4, ntyp = 3
/
ATOMIC_SPECIES
V 50.94 V.upf
Au 196.97 Au.upf
Cl 35.45 Cl.upf
ATOMIC_POSITIONS angstrom
V 0.000 0.000 0.000
Au 0.000 0.000 16.159
Cl 0.000 0.000 12.386
Cl 0.000 0.000 19.932
CELL_PARAMETERS angstrom
1.514 0.874 10.773
-1.514 0.874 10.773
0.000 -1.749 10.773
```

***

The following is a DFT calculation (PBE-GGA) of crystalline VAuCl2 at its relaxed geometry. Values from VASP.

Results
Energy above the lowest structure with this stoichiometry, eV/atom: 0.230
Calculated volume, A^3/atom: 23.94
M_tot, μB/f.u.: 2.3
Space group: I-42d
E_form (uncorrected), kJ/mol of formula units: -113

The structure in Quantum ESPRESSO input format:
```
&SYSTEM
  ibrav = 0, nat = 8, ntyp = 3
/
ATOMIC_SPECIES
V 50.94 V.upf
Au 196.97 Au.upf
Cl 35.45 Cl.upf
ATOMIC_POSITIONS angstrom
V 0.000 0.000 0.000
V 0.000 4.224 1.342
Au 4.224 0.000 1.342
Au 0.000 0.000 2.683
Cl 0.848 2.112 0.671
Cl -2.112 3.376 2.012
Cl -0.848 6.336 0.671
Cl 2.112 5.072 2.012
CELL_PARAMETERS angstrom
-4.224 4.224 2.683
4.224 -4.224 2.683
4.224 4.224 -2.683
```

***

The following is a DFT calculation (PBE-GGA) of crystalline VAuCl3 at its relaxed geometry. Values from VASP.

Results
Energy above the lowest structure with this stoichiometry, eV/atom: 0.000
Calculated volume, A^3/atom: 22.36
M_tot, μB/f.u.: 2.7
Space group: Pm-3m
E_form (uncorrected), kJ/mol of formula units: -177

The structure in Quantum ESPRESSO input format:
```
&SYSTEM
  ibrav = 0, nat = 5, ntyp = 3
/
ATOMIC_SPECIES
V 50.94 V.upf
Au 196.97 Au.upf
Cl 35.45 Cl.upf
ATOMIC_POSITIONS angstrom
V 0.000 0.000 0.000
Au 2.409 2.409 2.409
Cl 0.000 0.000 2.409
Cl 0.000 2.409 0.000
Cl 2.409 0.000 0.000
CELL_PARAMETERS angstrom
4.818 0.000 0.000
0.000 4.818 0.000
0.000 0.000 4.818
```

***

The following is a DFT calculation (PBE-GGA) of crystalline V2AuCl at its relaxed geometry. Values from VASP.

Results
Energy above the lowest structure with this stoichiometry, eV/atom: 0.000
Calculated volume, A^3/atom: 15.33
M_tot, μB/f.u.: 0.0
Space group: Fm-3m
E_form (uncorrected), kJ/mol of formula units: 163

The structure in Quantum ESPRESSO input format:
```
&SYSTEM
  ibrav = 0, nat = 4, ntyp = 3
/
ATOMIC_SPECIES
V 50.94 V.upf
Au 196.97 Au.upf
Cl 35.45 Cl.upf
ATOMIC_POSITIONS angstrom
V 1.565 1.565 1.565
V 4.694 4.694 4.694
Au 0.000 0.000 0.000
Cl 3.130 3.130 3.130
CELL_PARAMETERS angstrom
0.000 3.130 3.130
3.130 0.000 3.130
3.130 3.130 0.000
```

***

The following is a DFT calculation (PBE-GGA) of crystalline VAuCl at its relaxed geometry. Values from VASP.

Results
Calculated volume, A^3/atom: 22.47
M_tot, μB/f.u.: 2.6
Space group: P4/nmm
E_form (uncorrected), kJ/mol of formula units: -18

The structure in Quantum ESPRESSO input format:
```
&SYSTEM
  ibrav = 0, nat = 6, ntyp = 3
/
ATOMIC_SPECIES
V 50.94 V.upf
Au 196.97 Au.upf
Cl 35.45 Cl.upf
ATOMIC_POSITIONS angstrom
V 1.351 1.351 0.003
V 4.053 4.053 4.613
Au 1.351 4.053 0.000
Au 4.053 1.351 0.000
Cl 1.351 1.351 2.311
Cl 4.053 4.053 2.305
CELL_PARAMETERS angstrom
5.404 0.000 0.000
0.000 5.404 0.000
0.000 0.000 4.617
```

***

The following is a DFT calculation (PBE-GGA) of crystalline VAuCl3 at its relaxed geometry. Values from VASP.

Results
Energy above the lowest structure with this stoichiometry, eV/atom: 0.645
Calculated volume, A^3/atom: 26.15
M_tot, μB/f.u.: 3.7
Space group: Pm-3m
E_form (uncorrected), kJ/mol of formula units: 134

The structure in Quantum ESPRESSO input format:
```
&SYSTEM
  ibrav = 0, nat = 5, ntyp = 3
/
ATOMIC_SPECIES
V 50.94 V.upf
Au 196.97 Au.upf
Cl 35.45 Cl.upf
ATOMIC_POSITIONS angstrom
V 0.000 0.000 0.000
Au 2.538 2.538 2.538
Cl 0.000 2.538 2.538
Cl 2.538 0.000 2.538
Cl 2.538 2.538 0.000
CELL_PARAMETERS angstrom
5.075 0.000 0.000
0.000 5.075 0.000
0.000 0.000 5.075
```